AlMoP2O: optimized geometry, PBE+U.

Cell and atoms, written as POSCAR:
```
AlMoP2O
1.0
4.985 0.000 0.000
0.000 4.985 0.000
0.000 0.000 3.358
Al Mo P O
1 1 2 1
direct
0.000 0.000 0.000
0.500 0.500 0.500
0.000 0.500 0.000
0.500 0.000 0.000
0.000 0.000 0.500
```

Summary:
E_tot = -5.372 eV/atom
M_tot = 0.6417 μB per atom
energy above the most stable polymorph in this dataset = 0.00 kJ/mol of atoms